Entry 1:
DFT (meta-GGA SCAN) results for a crystal of K2Au relaxed with PBEsol.

Summary:
The energy relative to the elements is -267.1 meV per atom. The value obtained for the total magnetic moment is 0.05 μB per cell. For the calculated volume, the calculation gives 39.5 Å³/atom. The final energy is -28.8719 eV per atom.

Cell: 5.606 5.606 3.773 Å, 90.00 90.00 90.00°
Space group P4/mmm (No. 123)
Unique sites:
K 0.000 0.500 0.000 [2 per cell]
Au 0.000 0.000 0.500 [1 per cell]

***

Entry 2:
DFT (meta-GGA SCAN) results for a crystal of PtRh2Br relaxed with PBEsol.

Summary:
The value obtained for the total magnetic moment is 4.99 μB per cell. For the calculated volume, the calculation gives 15.3 Å³/atom. The final energy is -38.5079 eV per atom.

Cell: 3.981 3.981 7.701 Å, 90.00 90.00 90.00°
Space group I-4m2 (No. 119)
Unique sites:
Pt 0.000 0.000 0.000 [2 per cell]
Rh 0.000 0.000 0.500 [2 per cell]
Rh 0.000 0.500 0.250 [2 per cell]
Br 0.000 0.500 0.750 [2 per cell]

***

Entry 3:
DFT (meta-GGA SCAN) results for a crystal of EuAlSi relaxed with PBEsol.

Summary:
The value obtained for the total magnetic moment is 7.25 μB per cell. For the calculated volume, the calculation gives 21.7 Å³/atom. The final energy is -24.3652 eV per atom.

Cell: 4.2036 4.2036 4.2549 Å, 90.00 90.00 120.00°
Space group P-6m2 (No. 187)
Unique sites:
Eu 0.0000 0.0000 0.0000 [1 per cell]
Al 0.6667 0.3333 0.5000 [1 per cell]
Si 0.3333 0.6667 0.5000 [1 per cell]

***

Entry 4:
DFT (meta-GGA SCAN) results for a crystal of FeNiPt2 relaxed with PBEsol.

Summary:
The energy relative to the elements is -262.4 meV per atom. The value obtained for the total magnetic moment is 9.60 μB per cell. For the calculated volume, the calculation gives 13.1 Å³/atom. The final energy is -43.9346 eV per atom.

Cell: 8.844 2.687 4.525 Å, 90.00 101.97 90.00°
Space group Cm (No. 8)
Unique sites:
Fe 0.000 0.000 0.000 [2 per cell]
Ni 0.262 0.000 0.742 [2 per cell]
Pt 0.010 0.500 0.516 [2 per cell]
Pt 0.251 0.500 0.226 [2 per cell]

***

Entry 5:
DFT (meta-GGA SCAN) results for a crystal of LiCa2Mn relaxed with PBEsol.

Summary:
The energy relative to the elements is 261.4 meV per atom. The value obtained for the total magnetic moment is 11.72 μB per cell. For the calculated volume, the calculation gives 28.4 Å³/atom. The final energy is -9.7316 eV per atom.

Cell: 3.5869 3.5869 30.5648 Å, 90.00 90.00 120.00°
Space group R-3m (No. 166, hexagonal axes)
Unique sites:
Li 0.0000 0.0000 0.0000 [3 per cell]
Ca 0.0000 0.0000 0.2394 [6 per cell]
Mn 0.0000 0.0000 0.5000 [3 per cell]

***

Entry 6:
DFT (meta-GGA SCAN) results for a crystal of CoP2Rh relaxed with PBEsol.

Summary:
The energy relative to the elements is -5.2 meV per atom. The value obtained for the total magnetic moment is 0.00 μB per cell. For the calculated volume, the calculation gives 11.7 Å³/atom. The distance to the lowest polymorph of the same formula comes out at 0.297 eV per atom. The final energy is -17.9735 eV per atom.

Cell: 2.855 2.855 5.763 Å, 90.00 90.00 90.00°
Space group P4/mmm (No. 123)
Unique sites:
Co 0.000 0.000 0.000 [1 per cell]
P 0.500 0.500 0.230 [2 per cell]
Rh 0.000 0.000 0.500 [1 per cell]

***

Entry 7:
DFT (meta-GGA SCAN) results for a crystal of ReOsPt2 relaxed with PBEsol.

Summary:
The energy relative to the elements is 130.0 meV per atom. The value obtained for the total magnetic moment is 0.00 μB per cell. For the calculated volume, the calculation gives 14.5 Å³/atom. The distance to the lowest polymorph of the same formula comes out at 0.193 eV per atom. The final energy is -70.7109 eV per atom.

Cell: 2.699 2.699 7.961 Å, 90.00 90.00 90.00°
Space group P4/mmm (No. 123)
Unique sites:
Re 0.000 0.000 0.000 [1 per cell]
Os 0.000 0.000 0.500 [1 per cell]
Pt 0.500 0.500 0.249 [2 per cell]

***

Entry 8:
DFT (meta-GGA SCAN) results for a crystal of KBSCl2 relaxed with PBEsol.

Summary:
The value obtained for the total magnetic moment is 0.00 μB per cell. For the calculated volume, the calculation gives 19.5 Å³/atom. The distance to the lowest polymorph of the same formula comes out at 0.000 eV per atom. The final energy is -8.7586 eV per atom.

Cell: 5.179 5.179 3.637 Å, 90.00 90.00 90.00°
Space group P4/mmm (No. 123)
Unique sites:
K 0.000 0.000 0.000 [1 per cell]
B 0.500 0.500 0.500 [1 per cell]
S 0.500 0.500 0.000 [1 per cell]
Cl 0.000 0.500 0.500 [2 per cell]

***

Entry 9:
DFT (meta-GGA SCAN) results for a crystal of BeAg2SnCl relaxed with PBEsol.

Summary:
The value obtained for the total magnetic moment is 0.00 μB per cell. For the calculated volume, the calculation gives 25.0 Å³/atom. The final energy is -21.2001 eV per atom.

Cell: 4.749 4.749 5.535 Å, 90.00 90.00 90.00°
Space group P4/mmm (No. 123)
Unique sites:
Be 0.000 0.000 0.000 [1 per cell]
Ag 0.000 0.500 0.500 [2 per cell]
Sn 0.500 0.500 0.000 [1 per cell]
Cl 0.500 0.500 0.500 [1 per cell]

***

Entry 10:
DFT (meta-GGA SCAN) results for a crystal of CdRuBr2 relaxed with PBEsol.

Summary:
The value obtained for the total magnetic moment is 0.00 μB per cell. For the calculated volume, the calculation gives 21.1 Å³/atom. The distance to the lowest polymorph of the same formula comes out at 0.430 eV per atom. The final energy is -25.6074 eV per atom.

Cell: 2.9989 2.9989 32.4495 Å, 90.00 90.00 120.00°
Space group R-3m (No. 166, hexagonal axes)
Unique sites:
Cd 0.0000 0.0000 0.0000 [3 per cell]
Ru 0.0000 0.0000 0.5000 [3 per cell]
Br 0.0000 0.0000 0.4278 [6 per cell]

***

Entry 11:
DFT (meta-GGA SCAN) results for a crystal of CoSbCI2 relaxed with PBEsol.

Summary:
The value obtained for the total magnetic moment is 0.66 μB per cell. For the calculated volume, the calculation gives 25.3 Å³/atom. The final energy is -25.9706 eV per atom.

Cell: 5.193 5.193 4.694 Å, 90.00 90.00 90.00°
Space group P4/mmm (No. 123)
Unique sites:
Co 0.000 0.000 0.000 [1 per cell]
Sb 0.000 0.000 0.500 [1 per cell]
C 0.500 0.500 0.500 [1 per cell]
I 0.000 0.500 0.000 [2 per cell]

***

Entry 12:
DFT (meta-GGA SCAN) results for a crystal of Ti2GaNiTe relaxed with PBEsol.

Summary:
The value obtained for the total magnetic moment is 0.00 μB per cell. For the calculated volume, the calculation gives 21.9 Å³/atom. The final energy is -19.3176 eV per atom.

Cell: 4.643 4.643 5.075 Å, 90.00 90.00 90.00°
Space group P4/mmm (No. 123)
Unique sites:
Ti 0.000 0.500 0.000 [2 per cell]
Ga 0.000 0.000 0.000 [1 per cell]
Ni 0.500 0.500 0.500 [1 per cell]
Te 0.000 0.000 0.500 [1 per cell]

***

Entry 13:
DFT (meta-GGA SCAN) results for a crystal of SnAs2Se2 relaxed with PBEsol.

Summary:
The value obtained for the total magnetic moment is 0.00 μB per cell. For the calculated volume, the calculation gives 23.3 Å³/atom. The distance to the lowest polymorph of the same formula comes out at 0.000 eV per atom. The final energy is -23.2152 eV per atom.

Cell: 8.203 8.203 3.459 Å, 90.00 90.00 90.00°
Space group P4/mbm (No. 127)
Unique sites:
Sn 0.000 0.000 0.000 [2 per cell]
As 0.208 0.292 0.000 [4 per cell]
Se 0.141 0.641 0.500 [4 per cell]

***

Entry 14:
DFT (meta-GGA SCAN) results for a crystal of CaFe2Os relaxed with PBEsol.

Summary:
The energy relative to the elements is 726.5 meV per atom. The value obtained for the total magnetic moment is 15.15 μB per cell. For the calculated volume, the calculation gives 14.5 Å³/atom. The distance to the lowest polymorph of the same formula comes out at 0.338 eV per atom. The final energy is -28.7241 eV per atom.

Cell: 2.7302 2.7302 27.0079 Å, 90.00 90.00 120.00°
Space group R-3m (No. 166, hexagonal axes)
Unique sites:
Ca 0.0000 0.0000 0.0000 [3 per cell]
Fe 0.0000 0.0000 0.2415 [6 per cell]
Os 0.0000 0.0000 0.5000 [3 per cell]